No. 1
# HfMn3Cd

An optimized crystal structure of HfMn3Cd (PBE, Alexandria via LeMat-Bulk).

Unit cell a=4.7744 b=4.7744 c=4.7744 alpha=90.00 beta=90.00 gamma=90.00
Each line ends with the local moment (μB).
Sites, in units of the cell vectors:
Mn 0.0000 0.5000 0.0000  3.13
Mn 0.5000 0.0000 0.0000  3.50
Hf 0.0000 0.0000 0.0000  -0.68
Mn 0.0000 0.0000 0.5000  2.86
Cd 0.5000 0.5000 0.5000  -0.05

## Properties
- D(E_F) (states/eV per cell) = 3.8
- energy above the most stable polymorph in this dataset (eV/atom) = 0.0000

No. 2
# Hf2MnCdMo

An optimized crystal structure of Hf2MnCdMo (PBE, Alexandria via LeMat-Bulk).

Unit cell a=5.1316 b=5.1316 c=4.5879 alpha=90.00 beta=90.00 gamma=90.00
Each line ends with the local moment (μB).
Sites, in units of the cell vectors:
Mo 0.5000 0.5000 0.5000  0.34
Cd 0.0000 0.0000 0.0000  -0.03
Mn 0.0000 0.0000 0.5000  3.70
Hf 0.0000 0.5000 0.0000  -0.21
Hf 0.5000 0.0000 0.0000  -0.21

## Properties
- D(E_F) (states/eV per cell) = 8.7
- energy above the most stable polymorph in this dataset (eV/atom) = 0.0000

No. 3
# Hf2MnCdMo

An optimized crystal structure of Hf2MnCdMo (PBE, Alexandria via LeMat-Bulk).

Unit cell a=5.1019 b=4.8470 c=5.1019 alpha=90.00 beta=90.00 gamma=90.00
Each line ends with the local moment (μB).
Sites, in units of the cell vectors:
Mn 0.5000 0.5000 0.5000  -0.08
Mo 0.0000 0.5000 0.0000  1.59
Hf 0.5000 0.0000 0.0000  -0.07
Cd 0.0000 0.0000 0.0000  0.01
Hf 0.0000 0.0000 0.5000  -0.02

## Properties
- D(E_F) (states/eV per cell) = 11.5
- energy above the most stable polymorph in this dataset (eV/atom) = 0.5087

No. 4
# NaHfMn2Cd

An optimized crystal structure of NaHfMn2Cd (PBE, Alexandria via LeMat-Bulk).

Unit cell a=4.7428 b=5.5935 c=4.7428 alpha=90.00 beta=90.00 gamma=90.00
Each line ends with the local moment (μB).
Sites, in units of the cell vectors:
Mn 0.5000 0.0000 0.0000  3.27
Na 0.0000 0.5000 0.0000  -0.04
Hf 0.0000 0.0000 0.0000  -0.78
Mn 0.0000 0.0000 0.5000  2.76
Cd 0.5000 0.5000 0.5000  -0.01

## Properties
- D(E_F) (states/eV per cell) = 4.1
- total DFT energy (no corrections) (eV per atom) = -4.879

No. 5
# HfMnCdNi2

An optimized crystal structure of HfMnCdNi2 (PBE, Alexandria via LeMat-Bulk).

Unit cell a=4.6277 b=5.1676 c=4.6277 alpha=90.00 beta=90.00 gamma=90.00
Each line ends with the local moment (μB).
Sites, in units of the cell vectors:
Mn 0.5000 0.5000 0.5000  4.06
Hf 0.0000 0.5000 0.0000  -0.56
Cd 0.0000 0.0000 0.0000  -0.03
Ni 0.0000 0.0000 0.5000  -0.42
Ni 0.5000 0.0000 0.0000  -0.38

## Properties
- D(E_F) (states/eV per cell) = 7.8
- total DFT energy (no corrections) (eV per atom) = -4.859

No. 6
# HfMnCd2Ni

An optimized crystal structure of HfMnCd2Ni (PBE, Alexandria via LeMat-Bulk).

Unit cell a=4.7434 b=4.7434 c=4.3308 alpha=90.00 beta=90.00 gamma=90.00
Each line ends with the local moment (μB).
Sites, in units of the cell vectors:
Cd 0.0000 0.5000 0.0000  -0.01
Cd 0.5000 0.0000 0.0000  -0.01
Ni 0.0000 0.0000 0.0000  -0.23
Mn 0.0000 0.0000 0.5000  -0.27
Hf 0.5000 0.5000 0.5000  -0.24

## Properties
- D(E_F) (states/eV per cell) = 6.9
- total DFT energy (no corrections) (eV per atom) = -4.481

No. 7
# HfMn2CdOs

An optimized crystal structure of HfMn2CdOs (PBE, Alexandria via LeMat-Bulk).

Unit cell a=4.3325 b=5.0959 c=4.3325 alpha=90.00 beta=90.00 gamma=90.00
Sites, in units of the cell vectors:
Os 0.5000 0.5000 0.5000
Hf 0.0000 0.0000 0.0000
Mn 0.5000 0.0000 0.0000
Cd 0.0000 0.5000 0.0000
Mn 0.0000 0.0000 0.5000

## Properties
- D(E_F) (states/eV per cell) = 13.3
- total DFT energy (no corrections) (eV per atom) = -5.782

No. 8
# HfMn2CdPd

An optimized crystal structure of HfMn2CdPd (PBE, Alexandria via LeMat-Bulk).

Unit cell a=4.5503 b=4.8360 c=4.5503 alpha=90.00 beta=90.00 gamma=90.00
Each line ends with the local moment (μB).
Sites, in units of the cell vectors:
Mn 0.0000 0.0000 0.5000  0.30
Pd 0.0000 0.0000 0.0000  -0.09
Hf 0.5000 0.5000 0.5000  -0.22
Mn 0.5000 0.0000 0.0000  0.01
Cd 0.0000 0.5000 0.0000  -0.01

## Properties
- D(E_F) (states/eV per cell) = 7.5
- total DFT energy (no corrections) (eV per atom) = -5.485

No. 9
# Hf2MnCdPd

An optimized crystal structure of Hf2MnCdPd (PBE, Alexandria via LeMat-Bulk).

Unit cell a=5.1248 b=4.5255 c=5.1248 alpha=90.00 beta=90.00 gamma=90.00
Sites, in units of the cell vectors:
Mn 0.0000 0.5000 0.0000
Cd 0.0000 0.0000 0.0000
Pd 0.5000 0.5000 0.5000
Hf 0.5000 0.0000 0.0000
Hf 0.0000 0.0000 0.5000

## Properties
- D(E_F) (states/eV per cell) = 7.7
- total DFT energy (no corrections) (eV per atom) = -5.433

No. 10
# HfMnCdRu2

An optimized crystal structure of HfMnCdRu2 (PBE, Alexandria via LeMat-Bulk).

Unit cell a=4.4736 b=4.6505 c=4.4736 alpha=90.00 beta=90.00 gamma=90.00
Sites, in units of the cell vectors:
Ru 0.0000 0.0000 0.5000
Cd 0.5000 0.5000 0.5000
Mn 0.0000 0.0000 0.0000
Hf 0.0000 0.5000 0.0000
Ru 0.5000 0.0000 0.0000

## Properties
- D(E_F) (states/eV per cell) = 4.5
- total DFT energy (no corrections) (eV per atom) = -7.049

No. 11
# HfMn2VCd

An optimized crystal structure of HfMn2VCd (PBE, Alexandria via LeMat-Bulk).

Unit cell a=4.3175 b=4.9897 c=4.3175 alpha=90.00 beta=90.00 gamma=90.00
Each line ends with the local moment (μB).
Sites, in units of the cell vectors:
Mn 0.5000 0.0000 0.0000  2.78
Mn 0.0000 0.0000 0.5000  2.49
V 0.0000 0.0000 0.0000  -1.37
Hf 0.5000 0.5000 0.5000  -0.09
Cd 0.0000 0.5000 0.0000  -0.02

## Properties
- D(E_F) (states/eV per cell) = 5.4
- total DFT energy (no corrections) (eV per atom) = -6.819

No. 12
# Hf12Cd5Mo3

An optimized crystal structure of Hf12Cd5Mo3 (PBE, Alexandria via LeMat-Bulk).

Unit cell a=14.1003 b=14.1003 c=14.1003 alpha=109.47 beta=109.47 gamma=109.47
Sites, in units of the cell vectors:
Hf 0.4248 0.7658 0.8575
Cd 0.1250 0.3750 0.2500
Mo 0.3750 0.7500 0.6250
Mo 0.8750 0.7500 0.1250
Mo 0.6250 0.2500 0.3750
Hf 0.8575 0.5917 0.9327
Cd 0.8750 0.6250 0.7500
Hf 0.9248 0.3575 0.2658
Mo 0.1250 0.2500 0.8750
Hf 0.0673 0.9083 0.1425
Hf 0.9083 0.0673 0.6425
Cd 0.0000 0.5000 0.0000
Cd 0.7500 0.6250 0.3750
Hf 0.4327 0.3575 0.5917
Cd 0.0000 0.0000 0.5000
Hf 0.9327 0.0917 0.8575
Mo 0.7500 0.3750 0.1250
Hf 0.5752 0.2342 0.1425
Hf 0.7342 0.5917 0.1589
Hf 0.4248 0.6589 0.0673
Cd 0.1250 0.7500 0.3750
Hf 0.2342 0.5752 0.6425
Hf 0.7658 0.3411 0.9083
Hf 0.6425 0.0752 0.2342
Cd 0.6250 0.7500 0.8750
Hf 0.4083 0.1425 0.5673
Hf 0.1425 0.7342 0.5752
Hf 0.3575 0.9248 0.7658
Hf 0.6589 0.4248 0.5673
Hf 0.7342 0.1425 0.0752
Cd 0.8750 0.2500 0.6250
Hf 0.0673 0.1589 0.4248
Cd 0.5000 0.0000 0.5000
Hf 0.1425 0.4083 0.0673
Hf 0.5673 0.6425 0.4083
Hf 0.2658 0.8575 0.9248
Mo 0.1250 0.8750 0.7500
Hf 0.3411 0.5752 0.4327
Cd 0.3750 0.2500 0.1250
Hf 0.4327 0.0752 0.3411
Hf 0.9327 0.8411 0.5752
Cd 0.5000 0.5000 0.0000
Cd 0.3750 0.1250 0.7500
Hf 0.6425 0.5673 0.9083
Hf 0.5752 0.3411 0.9327
Hf 0.8411 0.9327 0.0752
Cd 0.0000 0.0000 0.0000
Cd 0.7500 0.1250 0.8750
Hf 0.0752 0.4327 0.8411
Mo 0.2500 0.6250 0.8750
Mo 0.2500 0.1250 0.3750
Hf 0.7658 0.4248 0.3575
Hf 0.9248 0.5673 0.1589
Cd 0.2500 0.3750 0.6250
Hf 0.8575 0.2658 0.4248
Hf 0.8411 0.9083 0.2658
Hf 0.3575 0.4327 0.0917
Mo 0.6250 0.3750 0.7500
Cd 0.5000 0.0000 0.0000
Hf 0.1589 0.0673 0.9248
Mo 0.3750 0.6250 0.2500
Cd 0.6250 0.8750 0.2500
Mo 0.7500 0.8750 0.6250
Hf 0.0752 0.6425 0.7342
Hf 0.0917 0.9327 0.3575
Hf 0.2658 0.4083 0.8411
Hf 0.3411 0.7658 0.4083
Cd 0.0000 0.5000 0.5000
Cd 0.2500 0.8750 0.1250
Hf 0.2342 0.6589 0.0917
Hf 0.5673 0.9248 0.6589
Hf 0.4083 0.2658 0.3411
Hf 0.9083 0.8411 0.7658
Hf 0.6589 0.2342 0.5917
Mo 0.8750 0.1250 0.2500
Hf 0.5917 0.8575 0.4327
Hf 0.5917 0.7342 0.6589
Hf 0.1589 0.0917 0.7342
Hf 0.0917 0.1589 0.2342
Cd 0.5000 0.5000 0.5000

## Properties
- D(E_F) (states/eV per cell) = 65.9
- total DFT energy (no corrections) (eV per atom) = -7.034

Copy entry 11 word for word.
# HfMn2VCd

An optimized crystal structure of HfMn2VCd (PBE, Alexandria via LeMat-Bulk).

Unit cell a=4.3175 b=4.9897 c=4.3175 alpha=90.00 beta=90.00 gamma=90.00
Each line ends with the local moment (μB).
Sites, in units of the cell vectors:
Mn 0.5000 0.0000 0.0000  2.78
Mn 0.0000 0.0000 0.5000  2.49
V 0.0000 0.0000 0.0000  -1.37
Hf 0.5000 0.5000 0.5000  -0.09
Cd 0.0000 0.5000 0.0000  -0.02

## Properties
- D(E_F) (states/eV per cell) = 5.4
- total DFT energy (no corrections) (eV per atom) = -6.819